1.
DFT (GGA-PBEsol) results for a geometry-optimized BaCdSe4 structure.

Cell lengths 5.9121, 5.9121, 5.9121 Å; angles 60.00, 60.00, 60.00 degrees
Positions (direct):
Ba1 0.0000 0.0000 0.0000
Cd1 0.2500 0.2500 0.2500
Se1 0.1310 0.6230 0.6230
Se2 0.6230 0.1310 0.6230
Se3 0.6230 0.6230 0.1310
Se4 0.6230 0.6230 0.6230

Computed properties:
Mass density   6.4 Mg/m³
Symmetry   F-43m
ΔE_f (raw)   -375 meV/atom
E   -3.499 eV/atom



2.
DFT (GGA-PBEsol) results for a geometry-optimized Ba2CdSe structure.

Cell lengths 9.0817, 9.0817, 9.0817 Å; angles 153.65, 152.27, 38.62 degrees
Positions (direct):
Ba1 0.0000 0.0000 0.0000
Ba2 0.7228 0.2228 0.5000
Cd1 0.3297 0.8297 0.5000
Se1 0.5732 0.5732 0.0000

Computed properties:
Mass density   5.0 Mg/m³
Energy above the most stable polymorph in this dataset   1.52 kJ/mol of atoms
Symmetry   Imm2
ΔE_f (raw)   -925 meV/atom
E   -3.261 eV/atom



3.
DFT (GGA-PBEsol) results for a geometry-optimized Ba2CdSe structure.

Cell lengths 6.9599, 6.9599, 6.9599 Å; angles 140.33, 140.33, 57.35 degrees
Positions (direct):
Ba1 0.0000 0.0000 0.0000
Ba2 0.7500 0.2500 0.5000
Cd1 0.5000 0.5000 0.0000
Se1 0.2500 0.7500 0.5000

Computed properties:
Mass density   5.7 Mg/m³
Energy above the most stable polymorph in this dataset   13.09 kJ/mol of atoms
Symmetry   I-4m2
ΔE_f (raw)   -805 meV/atom
E   -3.141 eV/atom



4.
DFT (GGA-PBEsol) results for a geometry-optimized BaCd4Se structure.

Cell lengths 6.0409, 6.0409, 6.0409 Å; angles 60.00, 60.00, 60.00 degrees
Positions (direct):
Ba1 0.0000 0.0000 0.0000
Cd1 0.3764 0.3764 0.3764
Cd2 0.3764 0.3764 0.8708
Cd3 0.3764 0.8708 0.3764
Cd4 0.8708 0.3764 0.3764
Se1 0.7500 0.7500 0.7500

Computed properties:
Mass density   7.1 Mg/m³
Symmetry   F-43m
ΔE_f (raw)   -230 meV/atom
E   -2.028 eV/atom



5.
DFT (GGA-PBEsol) results for a geometry-optimized BaCdSi structure.

Cell lengths 8.7711, 8.7711, 8.7711 Å; angles 153.41, 146.48, 43.29 degrees
Positions (direct):
Ba1 0.3916 0.1416 0.2500
Ba2 0.6084 0.8584 0.7500
Cd1 0.2076 0.4576 0.7500
Cd2 0.7924 0.5424 0.2500
Si1 0.0405 0.2905 0.7500
Si2 0.9595 0.7095 0.2500

Computed properties:
Mass density   5.5 Mg/m³
Symmetry   Imma
ΔE_f (raw)   -397 meV/atom
E   -3.427 eV/atom



6.
DFT (GGA-PBEsol) results for a geometry-optimized BaCd2Si structure.

Cell lengths 5.2408, 5.2408, 5.2408 Å; angles 60.00, 60.00, 60.00 degrees
Positions (direct):
Ba1 0.0000 0.0000 0.0000
Cd1 0.5000 0.5000 0.5000
Cd2 0.7500 0.7500 0.7500
Si1 0.2500 0.2500 0.2500

Computed properties:
Mass density   6.4 Mg/m³
Symmetry   F-43m
ΔE_f (raw)   -37 meV/atom
E   -2.609 eV/atom



7.
DFT (GGA-PBEsol) results for a geometry-optimized BaCdSi structure.

Cell lengths 4.5359, 4.5359, 4.8721 Å; angles 90.00, 90.00, 120.00 degrees
Positions (direct):
Ba1 0.0000 0.0000 0.0000
Cd1 0.3333 0.6667 0.5000
Si1 0.6667 0.3333 0.5000

Computed properties:
Mass density   5.3 Mg/m³
Symmetry   P-6m2
ΔE_f (raw)   -345 meV/atom
E   -3.376 eV/atom



8.
DFT (GGA-PBEsol) results for a geometry-optimized BaCd2Si structure.

Cell lengths 3.6192, 3.6192, 7.8081 Å; angles 90.00, 90.00, 90.00 degrees
Positions (direct):
Ba1 0.0000 0.0000 0.0000
Cd1 0.5000 0.5000 0.3112
Cd2 0.5000 0.5000 0.6888
Si1 0.0000 0.0000 0.5000

Computed properties:
Mass density   6.3 Mg/m³
Symmetry   P4/mmm
ΔE_f (raw)   49 meV/atom
E   -2.523 eV/atom



9.
DFT (GGA-PBEsol) results for a geometry-optimized BaCd2Si structure.

Cell lengths 3.6732, 3.6732, 7.5695 Å; angles 90.00, 90.00, 90.00 degrees
Positions (direct):
Ba1 0.0000 0.0000 0.0000
Cd1 0.0000 0.0000 0.5352
Cd2 0.5000 0.5000 0.3258
Si1 0.5000 0.5000 0.7012

Computed properties:
Mass density   6.3 Mg/m³
Symmetry   P4mm
ΔE_f (raw)   -37 meV/atom
E   -2.609 eV/atom



10.
DFT (GGA-PBEsol) results for a geometry-optimized Ba2CdSi structure.

Cell lengths 4.6152, 6.6150, 6.6150 Å; angles 43.15, 90.00, 90.00 degrees
Positions (direct):
Ba1 0.0000 0.0000 0.0000
Ba2 0.5000 0.2853 0.2853
Cd1 0.0000 0.6968 0.6968
Si1 0.5000 0.5766 0.5766

Computed properties:
Mass density   5.0 Mg/m³
Symmetry   Amm2
ΔE_f (raw)   -292 meV/atom
E   -3.102 eV/atom



11.
DFT (GGA-PBEsol) results for a geometry-optimized BaCdSi4 structure.

Cell lengths 5.5343, 5.5343, 5.5343 Å; angles 60.00, 60.00, 60.00 degrees
Positions (direct):
Ba1 0.0000 0.0000 0.0000
Cd1 0.2500 0.2500 0.2500
Si1 0.1442 0.6186 0.6186
Si2 0.6186 0.1442 0.6186
Si3 0.6186 0.6186 0.1442
Si4 0.6186 0.6186 0.6186

Computed properties:
Mass density   5.0 Mg/m³
Symmetry   F-43m
ΔE_f (raw)   101 meV/atom
E   -4.288 eV/atom



12.
DFT (GGA-PBEsol) results for a geometry-optimized BaCdSn structure.

Cell lengths 6.4565, 6.4565, 8.3860 Å; angles 129.91, 129.91, 47.20 degrees
Positions (direct):
Ba1 0.0491 0.0491 0.2995
Ba2 0.9509 0.9509 0.7005
Cd1 0.3417 0.3417 0.2751
Cd2 0.6583 0.6583 0.7249
Sn1 0.3383 0.3383 0.9022
Sn2 0.6617 0.6617 0.0978

Computed properties:
Mass density   6.7 Mg/m³
ΔH_f (0 K)   -562 meV per atom
Symmetry   C2/m
E   -3.097 eV/atom



13.
DFT (GGA-PBEsol) results for a geometry-optimized BaCdSn3 structure.

Cell lengths 5.5117, 5.5117, 5.5117 Å; angles 90.00, 90.00, 90.00 degrees
Positions (direct):
Ba1 0.0000 0.0000 0.0000
Cd1 0.5000 0.5000 0.5000
Sn1 0.0000 0.5000 0.5000
Sn2 0.5000 0.0000 0.5000
Sn3 0.5000 0.5000 0.0000

Computed properties:
Mass density   6.0 Mg/m³
ΔH_f (0 K)   10 meV per atom
Symmetry   Pm-3m
E   -3.215 eV/atom



14.
DFT (GGA-PBEsol) results for a geometry-optimized BaSrCd structure.

Cell lengths 7.8113, 7.8113, 7.8113 Å; angles 149.59, 149.59, 43.55 degrees
Positions (direct):
Ba1 0.0000 0.0000 0.0000
Sr1 0.2700 0.2700 0.0000
Cd1 0.6442 0.6442 0.0000

Computed properties:
Mass density   4.6 Mg/m³
ΔH_f (0 K)   -223 meV per atom
Symmetry   I4mm
E   -1.951 eV/atom



15.
DFT (GGA-PBEsol) results for a geometry-optimized BaSr2Cd structure.

Cell lengths 7.5019, 7.5019, 7.5019 Å; angles 147.23, 131.03, 60.18 degrees
Positions (direct):
Ba1 0.0000 0.0000 0.0000
Sr1 0.4090 0.4090 0.0000
Sr2 0.7034 0.2034 0.5000
Cd1 0.2101 0.7101 0.5000

Computed properties:
Mass density   4.1 Mg/m³
ΔH_f (0 K)   -94 meV per atom
Symmetry   Imm2
E   -1.850 eV/atom



16.
DFT (GGA-PBEsol) results for a geometry-optimized BaSr2Cd structure.

Cell lengths 6.1267, 6.1267, 6.1267 Å; angles 60.00, 60.00, 60.00 degrees
Positions (direct):
Ba1 0.0000 0.0000 0.0000
Sr1 0.2500 0.2500 0.2500
Sr2 0.5000 0.5000 0.5000
Cd1 0.7500 0.7500 0.7500

Computed properties:
Mass density   4.3 Mg/m³
ΔH_f (0 K)   -25 meV per atom
Symmetry   F-43m
E   -1.782 eV/atom



17.
DFT (GGA-PBEsol) results for a geometry-optimized BaSr2Cd structure.

Cell lengths 7.6219, 7.6219, 7.6219 Å; angles 148.26, 131.16, 59.43 degrees
Positions (direct):
Ba1 0.0000 0.0000 0.0000
Sr1 0.3009 0.8009 0.5000
Sr2 0.6991 0.1991 0.5000
Cd1 0.5000 0.5000 0.0000

Computed properties:
Mass density   4.1 Mg/m³
ΔH_f (0 K)   -130 meV per atom
Symmetry   Immm
E   -1.887 eV/atom



18.
DFT (GGA-PBEsol) results for a geometry-optimized BaSr2Cd structure.

Cell lengths 4.1259, 4.1259, 10.2377 Å; angles 90.00, 90.00, 90.00 degrees
Positions (direct):
Ba1 0.0000 0.0000 0.0000
Sr1 0.0000 0.0000 0.3789
Sr2 0.5000 0.5000 0.6782
Cd1 0.5000 0.5000 0.2022

Computed properties:
Mass density   4.0 Mg/m³
ΔH_f (0 K)   -160 meV per atom
Symmetry   P4mm
E   -1.916 eV/atom



19.
DFT (GGA-PBEsol) results for a geometry-optimized BaSr2Cd structure.

Cell lengths 4.0529, 4.0529, 10.4910 Å; angles 90.00, 90.00, 90.00 degrees
Positions (direct):
Ba1 0.0000 0.0000 0.0000
Sr1 0.5000 0.5000 0.3171
Sr2 0.5000 0.5000 0.6829
Cd1 0.0000 0.0000 0.5000

Computed properties:
Mass density   4.1 Mg/m³
ΔH_f (0 K)   -147 meV per atom
Symmetry   P4/mmm
E   -1.904 eV/atom



20.
DFT (GGA-PBEsol) results for a geometry-optimized BaSrCdTc2 structure.

Cell lengths 5.1834, 5.1834, 5.7411 Å; angles 90.00, 90.00, 90.00 degrees
Positions (direct):
Ba1 0.0000 0.0000 0.0000
Sr1 0.5000 0.5000 0.0000
Cd1 0.0000 0.0000 0.5000
Tc1 0.0000 0.5000 0.5000
Tc2 0.5000 0.0000 0.5000

Computed properties:
Mass density   5.7 Mg/m³
ΔH_f (0 K)   1570 meV per atom
Symmetry   P4/mmm
E   -3.974 eV/atom